# 1
Computed, not measured: a geometry-optimized LiSe structure at the PBE level of DFT. Values from VASP.

```
&SYSTEM
  ibrav = 0, nat = 12, ntyp = 2
/
ATOMIC_SPECIES
Li 6.94 Li.upf
Se 78.96 Se.upf
CELL_PARAMETERS angstrom
4.902 0.000 0.000
-2.451 4.245 0.000
0.000 0.000 11.858
ATOMIC_POSITIONS angstrom
Li 0.000 0.000 1.320
Li 0.000 0.000 10.537
Li 0.000 2.830 6.585
Li 0.000 2.830 9.225
Li 2.451 1.415 2.632
Li 2.451 1.415 5.273
Se 0.000 0.000 3.868
Se 0.000 0.000 7.990
Se 0.000 2.830 4.037
Se 0.000 2.830 11.773
Se 2.451 1.415 0.085
Se 2.451 1.415 7.820
```

Values from the calculation:
- Distance to the lowest polymorph of the same formula: 36.77 kJ per mole of atoms
- VASP energy: -38.73 eV/cell
- Energy relative to the elements, uncorrected: -1.06 eV/f.u.

# 2
Computed, not measured: a geometry-optimized K4H3F2 structure at the PBE level of DFT. Values from VASP.

```
&SYSTEM
  ibrav = 0, nat = 18, ntyp = 3
/
ATOMIC_SPECIES
K 39.10 K.upf
H 1.01 H.upf
F 19.00 F.upf
CELL_PARAMETERS angstrom
5.799 -5.468 0.000
5.799 5.468 0.000
-0.389 0.000 5.569
ATOMIC_POSITIONS angstrom
K 4.320 4.084 2.854
K 4.093 1.369 0.165
K 6.694 4.084 5.499
K 3.898 -1.369 2.949
K 7.310 1.369 2.619
K 4.514 -4.084 0.070
K 7.116 -1.369 5.404
K 6.889 -4.084 2.714
H 4.032 1.380 2.918
H 5.507 1.869 4.177
H 4.226 -1.380 0.134
H 6.982 1.380 5.435
H 5.702 -1.869 1.392
H 7.177 -1.380 2.651
F 1.058 1.324 5.457
F 1.253 -1.324 2.673
F 9.956 1.324 2.896
F 10.151 -1.324 0.112
```

Values from the calculation:
- VASP energy: -55.72 eV/cell

# 3
Computed, not measured: a geometry-optimized LiInF2 structure at the PBE level of DFT. Values from VASP.

```
&SYSTEM
  ibrav = 0, nat = 16, ntyp = 3
/
ATOMIC_SPECIES
Li 6.94 Li.upf
In 114.82 In.upf
F 19.00 F.upf
CELL_PARAMETERS angstrom
6.260 0.000 0.000
0.000 6.260 0.000
0.000 0.000 6.260
ATOMIC_POSITIONS angstrom
Li 0.000 0.000 0.000
Li 0.000 3.130 3.130
Li 3.130 0.000 3.130
Li 3.130 3.130 0.000
In 0.000 0.000 3.130
In 0.000 3.130 0.000
In 3.130 0.000 0.000
In 3.130 3.130 3.130
F 1.565 1.565 1.565
F 1.565 1.565 4.695
F 1.565 4.695 1.565
F 1.565 4.695 4.695
F 4.695 1.565 1.565
F 4.695 1.565 4.695
F 4.695 4.695 1.565
F 4.695 4.695 4.695
```

Values from the calculation:
- Distance to the lowest polymorph of the same formula: 39.42 kJ per mole of atoms
- VASP energy: -62.91 eV/cell
- Energy relative to the elements, uncorrected: -7.33 eV/f.u.

# 4
Computed, not measured: a geometry-optimized Mg2ScBi structure at the PBE level of DFT. Values from VASP.

```
&SYSTEM
  ibrav = 0, nat = 4, ntyp = 3
/
ATOMIC_SPECIES
Mg 24.30 Mg.upf
Sc 44.96 Sc.upf
Bi 208.98 Bi.upf
CELL_PARAMETERS angstrom
4.446 0.000 0.000
0.000 4.446 0.000
0.000 0.000 4.824
ATOMIC_POSITIONS angstrom
Mg 0.000 2.223 0.000
Mg 2.223 0.000 0.000
Sc 0.000 0.000 2.412
Bi 2.223 2.223 2.412
```

Values from the calculation:
- VASP energy: -14.44 eV/cell
- E_form: -0.26 eV/atom

# 5
Computed, not measured: a geometry-optimized CrIn2Te structure at the PBE level of DFT. Values from VASP.

```
&SYSTEM
  ibrav = 0, nat = 4, ntyp = 3
/
ATOMIC_SPECIES
Cr 52.00 Cr.upf
In 114.82 In.upf
Te 127.60 Te.upf
CELL_PARAMETERS angstrom
3.185 0.000 0.000
0.000 3.185 0.000
0.000 0.000 9.364
ATOMIC_POSITIONS angstrom
Cr 0.000 0.000 0.000
In 1.593 1.593 1.748
In 1.593 1.593 7.616
Te 0.000 0.000 4.682
```

Values from the calculation:
- VASP energy: -16.93 eV/cell
- Energy relative to the elements, uncorrected: 1.31 eV/f.u.